# FeReTe2

Crystalline FeReTe2 at its relaxed geometry (GGA-PBE, Alexandria via LeMat-Bulk).

Calculated values
The total energy is -6.3681 eV/atom. As for the energy above the most stable polymorph in this dataset: 281 meV/atom. Its crystal system is trigonal.

POSCAR file:
```
FeReTe2
1.0
10.018 -0.044 -0.026
9.501 3.178 -0.026
9.501 1.526 2.788
Re Te Fe
1 2 1
Direct
0.762 0.762 0.762 Re
0.029 0.029 0.029 Te
0.219 0.219 0.219 Te
0.490 0.490 0.490 Fe
```

# MgAg2Pd2

Crystalline MgAg2Pd2 at its relaxed geometry (GGA-PBE, Alexandria via LeMat-Bulk).

Calculated values
The formation energy comes out at -0.300 eV/atom. The total energy is -3.8364 eV/atom. As for the energy above the most stable polymorph in this dataset: 0 meV/atom. Its crystal system is triclinic.

POSCAR file:
```
MgAg2Pd2
1.0
-4.525 2.231 0.308
-1.252 -3.586 -3.075
-2.941 -3.834 0.608
Mg Pd Ag
1 2 2
Direct
0.000 0.500 0.000 Mg
0.804 0.098 0.795 Pd
0.196 0.902 0.205 Pd
0.602 0.698 0.596 Ag
0.398 0.302 0.404 Ag
```

# Ce2ErP

Crystalline Ce2ErP at its relaxed geometry (GGA-PBE, Alexandria via LeMat-Bulk).

Calculated values
The formation energy comes out at -0.383 eV/atom. The total energy is -5.8428 eV/atom. Its crystal system is trigonal.

POSCAR file:
```
Ce2ErP
1.0
-2.859 -1.378 1.903
-1.211 -3.426 -0.702
4.924 -5.219 7.218
Ce P Er
2 1 1
Direct
0.108 0.108 0.676 Ce
0.892 0.892 0.324 Ce
0.500 0.500 0.500 P
0.000 0.000 0.000 Er
```